A plane-wave DFT calculation with GGA-PBE was carried out for SrCdHgO2 after structural relaxation.

```
SrCdHgO2
1.0
-0.995 -4.363 0.908
3.871 -1.509 -3.008
2.826 0.102 3.585
Hg O Cd Sr
1 2 1 1
direct
0.000 0.500 0.000
0.000 0.000 0.500
0.500 0.000 0.000
0.000 0.000 0.000
0.500 0.500 0.500
```


A plane-wave DFT calculation with GGA-PBE was carried out for Cd2TcHg2O6 after structural relaxation.

```
Cd2TcHg2O6
1.0
5.847 -0.029 0.460
-2.915 5.069 0.460
-0.617 -1.061 5.938
O Hg Tc Cd
6 2 1 2
direct
0.280 0.280 0.331
0.720 0.720 0.669
0.711 0.015 0.309
0.015 0.711 0.309
0.985 0.289 0.691
0.289 0.985 0.691
0.845 0.155 0.000
0.155 0.845 0.000
0.000 0.000 0.500
0.341 0.659 0.500
0.659 0.341 0.500
```


A plane-wave DFT calculation with GGA-PBE was carried out for CdHg2TeO6 after structural relaxation.

```
CdHg2TeO6
1.0
5.760 0.000 0.000
2.880 4.989 0.000
2.880 1.663 4.793
O Hg Cd Te
6 2 1 1
direct
0.977 0.533 0.289
0.431 0.655 0.814
0.655 0.099 0.814
0.533 0.201 0.289
0.099 0.431 0.814
0.201 0.977 0.289
0.566 0.566 0.301
0.066 0.066 0.802
0.816 0.816 0.552
0.316 0.316 0.052
```


A plane-wave DFT calculation with GGA-PBE was carried out for Ti2CdHgO after structural relaxation.

```
Ti2CdHgO
1.0
-3.620 -1.491 3.355
-3.143 -1.147 -3.901
1.881 -4.800 -0.104
Ti Hg O Cd
2 1 1 1
direct
0.000 0.000 0.500
0.500 0.000 0.000
0.000 0.000 0.000
0.500 0.500 0.500
0.000 0.500 0.000
```


Energy relative to the elements, uncorrected for the records above, in order: -0.541; -0.803; -0.731; 1.213 eV/atom
Fermi-level density of states for the records above, in order: 1.263; 2.155; 2.163; 6.540 states/eV per cell